Density functional theory data (PBE) for In2AgRh after structural relaxation.

```
In2AgRh
1.0
9.205 -1.588 -0.027
9.205 1.588 -0.027
8.939 0.000 2.712
In Ag Rh
2 1 1
direct
0.004 0.004 0.004 In
0.240 0.240 0.240 In
0.755 0.755 0.755 Ag
0.501 0.501 0.501 Rh
```

Properties
VASP energy = -3.83 eV/atom
calculated formation energy = 2.16 kcal/mol of atoms